(1)
Computed, not measured: crystalline BaInCuBi2 at its relaxed geometry at the PBE level of DFT.

The calculated volume comes out at 31.9 A^3/atom. The calculation puts the density at 7634 kg/m3. The calculation puts the formation energy at -0.208 eV per atom. The crystal system is tetragonal.

The structure belongs to space group P4/mmm (No. 123); the cell edges are 5.504, 5.504 and 5.269 Å and the angles 90.00°, 90.00° and 90.00°. The inequivalent atoms are Ba at (0.000, 0.000, 0.000), In at (0.500, 0.500, 0.000), Cu at (0.500, 0.500, 0.500) and Bi at (0.000, 0.500, 0.500).



(2)
Computed, not measured: crystalline BeGaP at its relaxed geometry at the PBE level of DFT.

The calculated volume comes out at 17.0 A^3/atom. The calculation puts the density at 3564 kg/m3. The calculation puts the formation energy at -0.127 eV per atom. For the distance to the lowest polymorph of the same formula, the calculation gives 52 meV/atom. The crystal system is monoclinic.

The structure belongs to space group Pm (No. 6); the cell edges are 3.557, 3.627 and 8.099 Å and the angles 90.00°, 101.93° and 90.00°. The inequivalent atoms are Be at (0.000, 0.000, 0.000), Be at (0.497, 0.500, 0.982), Ga at (0.275, 0.000, 0.541), Ga at (0.691, 0.500, 0.382), P at (0.078, 0.500, 0.159) and P at (0.426, 0.000, 0.843).



Q: Look up the calculated volume of the second one.
A: 17.0 A^3/atom